(1)
Below is an optimized crystal structure of Rb2BaH2, with properties calculated at the PBE level.

Lattice parameters (Å, degrees): 8.189 8.189 5.764 90.00 90.00 90.00
Atoms (fractional coordinates):
Rb 0.334 0.166 0.500
Rb 0.834 0.334 0.500
Rb 0.166 0.666 0.500
Rb 0.666 0.834 0.500
H 0.752 0.748 0.000
H 0.248 0.252 0.000
H 0.748 0.248 0.000
H 0.252 0.752 0.000
Ba 0.500 0.500 0.000
Ba 0.000 0.000 0.000

Computed properties:
For the raw total energy, the calculation gives -2.081 eV/atom. The value obtained for the total magnetization is 0.000 Bohr magnetons per cell. Its volume is 38.7 Å³ per atom. For the excess energy over the best structure of this formula in the dataset, the calculation gives 0.000 eV per atom. As for the space group: P4/mbm.

=====

(2)
Below is an optimized crystal structure of RbBaH3, with properties calculated at the PBE level.

Lattice parameters (Å, degrees): 4.466 6.455 11.377 121.78 90.00 90.00
Atoms (fractional coordinates):
Ba 0.750 0.118 0.604
Ba 0.250 0.418 0.396
H 0.250 0.885 0.631
H 0.750 0.651 0.369
H 0.750 0.204 0.406
H 0.750 0.511 0.857
H 0.250 0.025 0.143
H 0.250 0.332 0.594
Rb 0.250 0.783 0.852
Rb 0.750 0.753 0.148

Computed properties:
For the raw total energy, the calculation gives -2.894 eV/atom. The value obtained for the total magnetization is 0.000 Bohr magnetons per cell. Its volume is 27.9 Å³ per atom. As for the space group: P2_1/m.

=====

(3)
Below is an optimized crystal structure of RbBa2H2, with properties calculated at the PBE level.

Lattice parameters (Å, degrees): 9.200 9.200 5.009 90.00 90.00 90.00
Atoms (fractional coordinates):
Ba 0.676 0.824 0.500
Ba 0.324 0.176 0.500
Ba 0.176 0.676 0.500
Ba 0.824 0.324 0.500
Rb 0.000 0.000 0.000
Rb 0.500 0.500 0.000
H 0.267 0.233 0.000
H 0.767 0.267 0.000
H 0.733 0.767 0.000
H 0.233 0.733 0.000

Computed properties:
For the raw total energy, the calculation gives -2.270 eV/atom. The value obtained for the total magnetization is 0.005 Bohr magnetons per cell. Its volume is 42.4 Å³ per atom. For the excess energy over the best structure of this formula in the dataset, the calculation gives 0.304 eV per atom. As for the space group: P4/mbm.

=====

(4)
Below is an optimized crystal structure of Rb3BaH, with properties calculated at the PBE level.

Lattice parameters (Å, degrees): 6.552 6.552 6.552 90.00 90.00 90.00
Site moments in Bohr magnetons follow the coordinates.
Atoms (fractional coordinates):
Rb 0.000 0.000 0.500  0.03
Rb 0.500 0.000 0.000  0.03
Rb 0.000 0.500 0.000  0.03
Ba 0.500 0.500 0.500  0.21
H 0.000 0.000 0.000  0.02

Computed properties:
For the raw total energy, the calculation gives -1.474 eV/atom. The value obtained for the total magnetization is 2.000 Bohr magnetons per cell. Its volume is 56.3 Å³ per atom. As for the space group: Pm-3m.

=====

(5)
Below is an optimized crystal structure of Rb3Ba12H5, with properties calculated at the PBE level.

Lattice parameters (Å, degrees): 17.055 17.055 17.055 109.47 109.47 109.47
Atoms (fractional coordinates):
H 0.500 0.000 0.000
H 0.500 0.000 0.500
H 0.750 0.125 0.875
H 0.500 0.500 0.000
H 0.000 0.000 0.500
H 0.125 0.375 0.250
H 0.625 0.750 0.875
H 0.625 0.875 0.250
H 0.125 0.750 0.375
H 0.750 0.625 0.375
H 0.000 0.500 0.500
H 0.375 0.250 0.125
H 0.875 0.625 0.750
H 0.000 0.000 0.000
H 0.000 0.500 0.000
H 0.250 0.875 0.125
H 0.250 0.375 0.625
H 0.500 0.500 0.500
H 0.875 0.250 0.625
H 0.375 0.125 0.750
Ba 0.408 0.097 0.605
Ba 0.597 0.605 0.908
Ba 0.097 0.408 0.105
Ba 0.408 0.311 0.303
Ba 0.992 0.395 0.803
Ba 0.895 0.092 0.903
Ba 0.689 0.097 0.992
Ba 0.197 0.092 0.689
Ba 0.492 0.189 0.097
Ba 0.403 0.395 0.092
Ba 0.697 0.508 0.605
Ba 0.403 0.008 0.811
Ba 0.105 0.908 0.097
Ba 0.895 0.803 0.492
Ba 0.105 0.197 0.508
Ba 0.008 0.605 0.197
Ba 0.811 0.303 0.908
Ba 0.311 0.903 0.008
Ba 0.605 0.597 0.408
Ba 0.395 0.992 0.303
Ba 0.903 0.592 0.895
Ba 0.903 0.311 0.508
Ba 0.992 0.597 0.689
Ba 0.689 0.592 0.197
Ba 0.803 0.895 0.992
Ba 0.189 0.492 0.597
Ba 0.803 0.908 0.311
Ba 0.311 0.408 0.803
Ba 0.092 0.197 0.189
Ba 0.092 0.895 0.403
Ba 0.097 0.689 0.492
Ba 0.508 0.697 0.105
Ba 0.189 0.697 0.092
Ba 0.908 0.803 0.811
Ba 0.697 0.189 0.592
Ba 0.592 0.689 0.697
Ba 0.592 0.903 0.395
Ba 0.492 0.303 0.895
Ba 0.197 0.105 0.008
Ba 0.508 0.811 0.903
Ba 0.395 0.403 0.592
Ba 0.597 0.992 0.189
Ba 0.811 0.508 0.403
Ba 0.303 0.492 0.395
Ba 0.605 0.008 0.697
Ba 0.908 0.105 0.597
Ba 0.303 0.811 0.408
Ba 0.008 0.403 0.311
Rb 0.625 0.375 0.750
Rb 0.750 0.375 0.125
Rb 0.125 0.250 0.875
Rb 0.625 0.250 0.375
Rb 0.375 0.750 0.625
Rb 0.125 0.875 0.750
Rb 0.250 0.625 0.875
Rb 0.250 0.125 0.375
Rb 0.750 0.875 0.625
Rb 0.875 0.750 0.125
Rb 0.875 0.125 0.250
Rb 0.375 0.625 0.250

Computed properties:
For the raw total energy, the calculation gives -2.148 eV/atom. The value obtained for the total magnetization is 0.002 Bohr magnetons per cell. Its volume is 47.7 Å³ per atom. As for the space group: Ia-3d.

=====

(6)
Below is an optimized crystal structure of Rb2BaH6Rh, with properties calculated at the PBE level.

Lattice parameters (Å, degrees): 6.707 6.144 6.144 120.00 90.00 90.00
Site moments in Bohr magnetons follow the coordinates.
Atoms (fractional coordinates):
Rb 0.883 0.667 0.333  0.01
Rb 0.117 0.333 0.667  0.01
H 0.149 0.872 0.128  0.00
H 0.149 0.872 0.744  0.00
H 0.149 0.256 0.128  0.00
H 0.851 0.128 0.872  0.00
H 0.851 0.744 0.872  0.00
H 0.851 0.128 0.256  0.00
Ba 0.500 0.000 0.000  0.06
Rh 0.000 0.000 0.000  0.03

Computed properties:
For the raw total energy, the calculation gives -3.462 eV/atom. The value obtained for the total magnetization is 0.559 Bohr magnetons per cell. Its volume is 21.9 Å³ per atom. As for the space group: P-3m1.

=====

(7)
Below is an optimized crystal structure of RbBa3H6Rh2, with properties calculated at the PBE level.

Lattice parameters (Å, degrees): 6.198 6.198 7.621 90.00 90.00 120.00
Atoms (fractional coordinates):
H 0.820 0.640 0.766
H 0.640 0.820 0.234
H 0.180 0.820 0.234
H 0.360 0.180 0.766
H 0.820 0.180 0.766
H 0.180 0.360 0.234
Ba 0.333 0.667 0.795
Ba 0.000 0.000 0.000
Ba 0.667 0.333 0.205
Rh 0.667 0.333 0.821
Rh 0.333 0.667 0.179
Rb 0.000 0.000 0.500

Computed properties:
For the raw total energy, the calculation gives -3.722 eV/atom. The value obtained for the total magnetization is 0.005 Bohr magnetons per cell. Its volume is 21.1 Å³ per atom. As for the space group: P-3m1.

=====

(8)
Below is an optimized crystal structure of Rb2BaH8Rh, with properties calculated at the PBE level.

Lattice parameters (Å, degrees): 5.876 5.876 6.772 90.00 90.00 120.00
Site moments in Bohr magnetons follow the coordinates.
Atoms (fractional coordinates):
Ba 0.000 0.000 0.500  0.00
H 0.264 0.132 0.851  0.01
H 0.333 0.667 0.447  0.15
H 0.868 0.132 0.851  0.01
H 0.132 0.868 0.149  0.01
H 0.132 0.264 0.149  0.01
H 0.868 0.736 0.851  0.01
H 0.736 0.868 0.149  0.01
H 0.667 0.333 0.553  0.15
Rb 0.333 0.667 0.866  0.01
Rb 0.667 0.333 0.134  0.01
Rh 0.000 0.000 0.000  0.18

Computed properties:
For the raw total energy, the calculation gives -3.304 eV/atom. The value obtained for the total magnetization is 1.142 Bohr magnetons per cell. Its volume is 16.9 Å³ per atom. As for the space group: P-3m1.

=====

(9)
Below is an optimized crystal structure of RbBa2H6Ru, with properties calculated at the PBE level.

Lattice parameters (Å, degrees): 7.793 5.511 5.511 120.00 90.00 90.00
Atoms (fractional coordinates):
H 0.870 0.148 0.296
H 0.130 0.852 0.704
H 0.870 0.704 0.852
H 0.870 0.148 0.852
H 0.130 0.296 0.148
H 0.130 0.852 0.148
Ba 0.152 0.333 0.667
Ba 0.848 0.667 0.333
Rb 0.500 0.000 0.000
Ru 0.000 0.000 0.000

Computed properties:
For the raw total energy, the calculation gives -3.829 eV/atom. The value obtained for the total magnetization is 0.451 Bohr magnetons per cell. Its volume is 20.5 Å³ per atom. As for the space group: P-3m1.

=====

(10)
Below is an optimized crystal structure of Rb2BaH6Ru, with properties calculated at the PBE level.

Lattice parameters (Å, degrees): 6.351 6.294 6.294 120.00 90.00 90.00
Atoms (fractional coordinates):
H 0.843 0.132 0.265
H 0.157 0.868 0.132
H 0.157 0.868 0.735
H 0.157 0.265 0.132
H 0.843 0.735 0.868
H 0.843 0.132 0.868
Rb 0.102 0.333 0.667
Rb 0.898 0.667 0.333
Ru 0.000 0.000 0.000
Ba 0.500 0.000 0.000

Computed properties:
For the raw total energy, the calculation gives -3.578 eV/atom. The value obtained for the total magnetization is 0.019 Bohr magnetons per cell. Its volume is 21.8 Å³ per atom. As for the space group: P-3m1.